1.
A plane-wave DFT calculation with GGA-PBE was carried out for TiCoCuAu after structural relaxation.

abc: 6.0871 6.0871 6.0871
angles: 90.00 90.00 90.00
Space group F-43m (No. 216)
Unique sites:
Ti: 0.0000 0.0000 0.0000 (multiplicity 4)
Co: 0.2500 0.2500 0.2500 (multiplicity 4)
Cu: 0.2500 0.2500 0.7500 (multiplicity 4)
Au: 0.0000 0.0000 0.5000 (multiplicity 4)

Properties
Formation enthalpy at 0 K   -116 meV/atom
Crystal system   cubic
Size of the total moment   3.5 μB/cell



2.
A plane-wave DFT calculation with GGA-PBE was carried out for Tl2FeRh after structural relaxation.

abc: 3.1401 3.1401 8.3813
angles: 90.00 90.00 90.00
Space group P4mm (No. 99)
Unique sites:
Tl: 0.0000 0.0000 0.0000 (multiplicity 1)
Tl: 0.5000 0.5000 0.3551 (multiplicity 1)
Fe: 0.0000 0.0000 0.6013 (multiplicity 1)
Rh: 0.5000 0.5000 0.7499 (multiplicity 1)

Properties
Formation enthalpy at 0 K   264 meV/atom
Crystal system   tetragonal
Size of the total moment   3.6 μB/cell



3.
A plane-wave DFT calculation with GGA-PBE was carried out for AcLa2Ga6 after structural relaxation.

abc: 4.6183 7.5240 13.5363
angles: 90.00 90.00 90.00
Space group Immm (No. 71)
Unique sites:
Ac: 0.0000 0.0000 0.0000 (multiplicity 2)
La: 0.0000 0.5000 0.1318 (multiplicity 4)
Ga: 0.0000 0.1754 0.5000 (multiplicity 4)
Ga: 0.0000 0.3066 0.3230 (multiplicity 8)

Properties
Formation enthalpy at 0 K   -461 meV/atom
Crystal system   orthorhombic
Size of the total moment   0.0 μB/cell



4.
A plane-wave DFT calculation with GGA-PBE was carried out for CaGaC2Br after structural relaxation.

abc: 4.8463 4.8463 5.7974
angles: 90.00 90.00 90.00
Space group P4/mmm (No. 123)
Unique sites:
Ca: 0.0000 0.0000 0.0000 (multiplicity 1)
Ga: 0.5000 0.5000 0.5000 (multiplicity 1)
C: 0.0000 0.5000 0.0000 (multiplicity 2)
Br: 0.0000 0.0000 0.5000 (multiplicity 1)

Properties
Raw formation energy   1.78 eV per atom
Crystal system   tetragonal
Size of the total moment   4.1 μB/cell



5.
A plane-wave DFT calculation with GGA-PBE was carried out for Pr2Dy3Sn4 after structural relaxation.

abc: 7.0549 17.2315 8.9674
angles: 90.00 90.00 90.00
Space group Cmce (No. 64)
Unique sites:
Pr: 0.0000 0.1107 0.0890 (multiplicity 8)
Dy: 0.0000 0.0000 0.5000 (multiplicity 4)
Dy: 0.2500 0.2070 0.7500 (multiplicity 8)
Sn: 0.0000 0.1862 0.4451 (multiplicity 8)
Sn: 0.2500 0.0316 0.7500 (multiplicity 8)

Properties
Formation enthalpy at 0 K   -633 meV/atom
Crystal system   orthorhombic
Size of the total moment   0.0 μB/cell



6.
A plane-wave DFT calculation with GGA-PBE was carried out for RbFe2I2 after structural relaxation.

abc: 3.9219 3.9219 17.2449
angles: 90.00 90.00 90.00
Space group I4/mmm (No. 139)
Unique sites:
Rb: 0.0000 0.0000 0.0000 (multiplicity 2)
Fe: 0.0000 0.5000 0.2500 (multiplicity 4)
I: 0.0000 0.0000 0.3580 (multiplicity 4)

Properties
Raw formation energy   0.10 eV per atom
Crystal system   tetragonal
Size of the total moment   10.2 μB/cell



7.
A plane-wave DFT calculation with GGA-PBE was carried out for K2AgBrO after structural relaxation.

abc: 5.5879 5.5879 4.1570
angles: 90.00 90.00 90.00
Space group P4/mmm (No. 123)
Unique sites:
K: 0.0000 0.5000 0.0000 (multiplicity 2)
Ag: 0.0000 0.0000 0.5000 (multiplicity 1)
Br: 0.5000 0.5000 0.5000 (multiplicity 1)
O: 0.0000 0.0000 0.0000 (multiplicity 1)

Properties
Raw formation energy   -1.11 eV per atom
Crystal system   tetragonal
Size of the total moment   0.0 μB/cell



8.
A plane-wave DFT calculation with GGA-PBE was carried out for FeAsAuSe2 after structural relaxation.

abc: 4.7632 4.7632 4.5442
angles: 90.00 90.00 90.00
Space group P4/mmm (No. 123)
Unique sites:
Fe: 0.0000 0.0000 0.0000 (multiplicity 1)
As: 0.0000 0.0000 0.5000 (multiplicity 1)
Au: 0.5000 0.5000 0.5000 (multiplicity 1)
Se: 0.0000 0.5000 0.0000 (multiplicity 2)

Properties
Raw formation energy   0.50 eV per atom
Crystal system   tetragonal
Size of the total moment   2.1 μB/cell



The evaluated uncorrected energy for the records listed, in turn: -5.7094, -4.8729, -4.0304, -3.2490, -5.0080, -4.0947, -3.4430, -4.1715 eV per atom.